[1]
Compound: SrYCd3
Source: the Alexandria database
Functional: PBE
Structure: relaxed

Output
Electronic total energy, eV for the cell shown: -9.61
Density of states at the Fermi level, states/eV per cell: 7.62
Space group: Pm-3m (221)
Polymorph energy (0 for the lowest one), meV per atom: 565.8
Calculated formation energy, kJ/mol of formula units: 124

Lattice parameters (Å, degrees): 5.775 5.775 5.775 90.00 90.00 90.00
Fractional positions:
Sr1 0.000 0.000 0.000
Y1 0.500 0.500 0.500
Cd1 0.000 0.500 0.500
Cd2 0.500 0.000 0.500
Cd3 0.500 0.500 0.000

[2]
Compound: Sr2YCd4
Source: the Alexandria database
Functional: PBE
Structure: relaxed

Output
Electronic total energy, eV for the cell shown: -14.66
Density of states at the Fermi level, states/eV per cell: 7.33
Space group: I4/mmm (139)
Calculated formation energy, kJ/mol of formula units: -113

Lattice parameters (Å, degrees): 8.206 8.206 8.206 140.05 140.05 57.78
Fractional positions:
Sr1 0.236 0.236 0.000
Sr2 0.764 0.764 0.000
Y1 0.500 0.500 0.000
Cd1 0.106 0.606 0.500
Cd2 0.394 0.894 0.500
Cd3 0.606 0.106 0.500
Cd4 0.894 0.394 0.500

no.,M_tot (μB per formula unit)
1,0.0
2,0.0